Compound: KMn2Tl
Source: Alexandria
Functional: GGA-PBE
Structure: optimized geometry

a = 8.1656 Å, b = 8.1656 Å, c = 8.1656 Å
α = 157.83°, β = 146.70°, γ = 40.37°
Last column: magnetic moment on the atom in μB.
Element x y z (fractional)
Mn: 0.9835 0.9835 0.0000  3.38
Tl: 0.4754 0.4754 0.0000  -0.08
Mn: 0.8480 0.3480 0.5000  3.83
K: 0.1932 0.6932 0.5000  0.01

relative energy among the computed polymorphs: 55.1 kJ/mol of formula units
space-group type: Imm2
energy of formation from the pure elements: 715 meV per atom

***

Compound: BPHAu
Source: Alexandria
Functional: GGA-PBE
Structure: optimized geometry

a = 3.4989 Å, b = 3.2719 Å, c = 9.7634 Å
α = 90.00°, β = 101.83°, γ = 90.00°
Element x y z (fractional)
Au: 0.1716 0.0000 0.2960
P: 0.5528 0.5000 0.0491
B: 0.5887 0.5000 0.6565
Au: 0.1716 0.5000 0.7960
H: 0.9244 0.0000 0.5061
P: 0.5528 0.0000 0.5491
B: 0.5887 0.0000 0.1565
H: 0.9244 0.5000 0.0061

relative energy among the computed polymorphs: 115.8 kJ/mol of formula units
space-group type: Cm

***

Compound: LaZrHPd2
Source: Alexandria
Functional: GGA-PBE
Structure: optimized geometry

a = 4.8601 Å, b = 6.0541 Å, c = 4.8601 Å
α = 90.00°, β = 90.00°, γ = 90.00°
Element x y z (fractional)
La: 0.0000 0.5000 0.0000
Zr: 0.0000 0.0000 0.0000
H: 0.5000 0.5000 0.5000
Pd: 0.0000 0.0000 0.5000
Pd: 0.5000 0.0000 0.0000

space-group type: P4/mmm

***

Compound: MnCd
Source: Alexandria
Functional: GGA-PBE
Structure: optimized geometry

a = 4.6778 Å, b = 4.6778 Å, c = 4.6778 Å
α = 60.00°, β = 60.00°, γ = 60.00°
Last column: magnetic moment on the atom in μB.
Element x y z (fractional)
Cd: 0.7500 0.7500 0.7500  -0.04
Cd: 0.0000 0.0000 0.0000  -0.04
Mn: 0.5000 0.5000 0.5000  3.67
Mn: 0.2500 0.2500 0.2500  3.67

space-group type: Fd-3m
energy of formation from the pure elements: 404 meV per atom

***

Compound: KTe2Cl
Source: Alexandria
Functional: GGA-PBE
Structure: optimized geometry

a = 5.5707 Å, b = 5.5707 Å, c = 5.5707 Å
α = 60.00°, β = 60.00°, γ = 60.00°
Element x y z (fractional)
Cl: 0.5000 0.5000 0.5000
Te: 0.2500 0.2500 0.2500
Te: 0.0000 0.0000 0.0000
K: 0.7500 0.7500 0.7500

formation energy without anion corrections: -375 meV/atom
relative energy among the computed polymorphs: 182.9 kJ/mol of formula units
space-group type: F-43m

***

Compound: Ho4Er3Cd
Source: Alexandria
Functional: GGA-PBE
Structure: optimized geometry

a = 7.2528 Å, b = 7.2528 Å, c = 7.2528 Å
α = 104.95°, β = 95.59°, γ = 130.14°
Element x y z (fractional)
Er: 0.5878 0.8168 0.4046
Cd: 0.0111 0.5000 0.5111
Ho: 0.2691 0.6739 0.9430
Ho: 0.0014 0.7513 0.2501
Er: 0.9259 0.0000 0.9259
Ho: 0.4988 0.2487 0.2501
Ho: 0.2691 0.3261 0.5952
Er: 0.5878 0.1832 0.7710

relative energy among the computed polymorphs: 340.3 kJ/mol of formula units
space-group type: Imm2
energy of formation from the pure elements: 381 meV per atom

***

Compound: RbHF3
Source: Alexandria
Functional: GGA-PBE
Structure: optimized geometry

a = 5.4597 Å, b = 6.7591 Å, c = 10.2952 Å
α = 105.91°, β = 90.00°, γ = 90.00°
Last column: magnetic moment on the atom in μB.
Element x y z (fractional)
F: 0.1026 0.9410 0.5256  0.00
H: 0.4898 0.0743 0.3283  0.00
F: 0.3974 0.4410 0.0256  0.00
F: 0.9029 0.7228 0.8999  0.05
F: 0.0971 0.2772 0.1001  0.05
H: 0.9898 0.4257 0.1717  0.00
F: 0.9105 0.5588 0.2441  0.02
F: 0.5895 0.0588 0.7441  0.02
H: 0.5102 0.9257 0.6717  0.00
Rb: 0.0800 0.0700 0.8271  0.00
Rb: 0.5800 0.4300 0.6729  0.00
F: 0.4029 0.7772 0.6001  0.05
F: 0.4105 0.9412 0.2559  0.02
F: 0.6026 0.5590 0.9744  0.00
F: 0.5971 0.2228 0.3999  0.05
F: 0.8974 0.0590 0.4744  0.00
H: 0.0102 0.5743 0.8283  0.00
F: 0.0895 0.4412 0.7559  0.02
Rb: 0.4200 0.5700 0.3271  0.00
Rb: 0.9200 0.9300 0.1729  0.00

relative energy among the computed polymorphs: 0.0 kJ/mol of formula units
space-group type: P2_1/c

***

Compound: Nd2Dy5ErTm
Source: Alexandria
Functional: GGA-PBE
Structure: optimized geometry

a = 8.5350 Å, b = 8.5350 Å, c = 9.9974 Å
α = 115.27°, β = 115.27°, γ = 90.00°
Element x y z (fractional)
Dy: 0.6432 0.1432 0.7160
Dy: 0.1432 0.0728 0.7160
Dy: 0.5728 0.6432 0.7160
Nd: 0.1190 0.3810 0.0000
Tm: 0.7500 0.7500 0.5000
Dy: 0.9272 0.4272 0.2840
Dy: 0.4272 0.3568 0.2840
Tm: 0.2500 0.2500 0.5000
Dy: 0.0728 0.5728 0.7160
Dy: 0.0000 0.0000 0.0000
Dy: 0.8568 0.9272 0.2840
Nd: 0.6190 0.1190 0.0000
Dy: 0.5000 0.5000 0.0000
Er: 0.2500 0.7500 0.5000
Nd: 0.8810 0.6190 0.0000
Dy: 0.3568 0.8568 0.2840
Er: 0.7500 0.2500 0.5000
Nd: 0.3810 0.8810 0.0000

space-group type: I4/mcm
energy of formation from the pure elements: 278 meV per atom

***

Compound: Ba2TeHPd
Source: Alexandria
Functional: GGA-PBE
Structure: optimized geometry

a = 5.8084 Å, b = 5.8084 Å, c = 4.0699 Å
α = 90.00°, β = 90.00°, γ = 90.00°
Element x y z (fractional)
H: 0.0000 0.0000 0.0000
Pd: 0.0000 0.0000 0.5000
Ba: 0.0000 0.5000 0.0000
Ba: 0.5000 0.0000 0.0000
Te: 0.5000 0.5000 0.5000

relative energy among the computed polymorphs: 0.0 kJ/mol of formula units
space-group type: P4/mmm

***

Compound: CaZr2W
Source: Alexandria
Functional: GGA-PBE
Structure: optimized geometry

a = 3.0021 Å, b = 4.7895 Å, c = 6.4604 Å
α = 90.00°, β = 90.00°, γ = 90.00°
Element x y z (fractional)
Zr: 0.5000 0.5000 0.2141
Ca: 0.0000 0.0000 0.5116
W: 0.5000 0.5000 0.7929
Zr: 0.0000 0.0000 0.9814

relative energy among the computed polymorphs: 120.0 kJ/mol of formula units
space-group type: Pmm2
energy of formation from the pure elements: 525 meV per atom

***

Compound: ZrTaMoW
Source: Alexandria
Functional: GGA-PBE
Structure: optimized geometry

a = 4.6524 Å, b = 4.6524 Å, c = 4.6524 Å
α = 60.00°, β = 60.00°, γ = 60.00°
Element x y z (fractional)
W: 0.2500 0.2500 0.2500
Zr: 0.0000 0.0000 0.0000
Mo: 0.7500 0.7500 0.7500
Ta: 0.5000 0.5000 0.5000

space-group type: F-43m
energy of formation from the pure elements: 15 meV per atom

***

Compound: Pu2TiGa4Au3
Source: Alexandria
Functional: GGA-PBE
Structure: optimized geometry

a = 4.1992 Å, b = 4.1992 Å, c = 11.5237 Å
α = 90.00°, β = 90.00°, γ = 90.00°
Last column: magnetic moment on the atom in μB.
Element x y z (fractional)
Pu: 0.0000 0.5000 0.7428  5.29
Ga: 0.5000 0.0000 0.6408  -0.04
Au: 0.0000 0.5000 0.1387  -0.01
Au: 0.5000 0.0000 0.8613  -0.01
Ga: 0.0000 0.0000 0.0000  -0.01
Ti: 0.5000 0.5000 0.5000  -0.25
Ga: 0.0000 0.5000 0.3592  -0.04
Au: 0.0000 0.0000 0.5000  -0.02
Ga: 0.5000 0.5000 0.0000  -0.02
Pu: 0.5000 0.0000 0.2572  5.29

space-group type: P-4m2
energy of formation from the pure elements: -384 meV per atom

***

Number 1: VASP energy -4.74 eV/atom. Number 2: VASP energy -4.46 eV/atom. Number 3: VASP energy -4.59 eV/atom. Number 4: VASP energy -4.64 eV/atom. Number 5: VASP energy -2.68 eV/atom. Number 6: VASP energy -3.73 eV/atom. Number 7: VASP energy -3.82 eV/atom. Number 8: VASP energy -4.34 eV/atom. Number 9: VASP energy -4.00 eV/atom. Number 10: VASP energy -7.49 eV/atom. Number 11: VASP energy -11.03 eV/atom. Number 12: VASP energy -6.23 eV/atom.